Record 1
The following is a GGA-PBEsol calculation of an optimized crystal structure of Sr2Li, from Alexandria via LeMat-Bulk. Values from VASP.

Computed properties:
**Distance to the lowest polymorph of the same formula**: 0.000 eV per atom
**Space-group type**: I4/mmm (139)
**Formation energy from the elements**: 0.021 eV per atom
**Fermi-level density of states**: 6.22 states/eV per cell

Structure (Quantum ESPRESSO input):
```
&SYSTEM
  ibrav = 0, nat = 6, ntyp = 2
/
ATOMIC_SPECIES
Sr 87.62 Sr.upf
Li 6.94 Li.upf
ATOMIC_POSITIONS angstrom
Sr 0.000 0.000 2.062
Sr 0.000 0.000 12.131
Sr 2.106 2.106 5.034
Sr 2.106 2.106 9.159
Li 0.000 0.000 7.097
Li 2.106 2.106 0.000
CELL_PARAMETERS angstrom
4.213 0.000 0.000
0.000 4.213 0.000
0.000 0.000 14.193
```



Record 2
The following is a GGA-PBEsol calculation of an optimized crystal structure of Al2CuSi5, from Alexandria via LeMat-Bulk. Values from VASP.

Computed properties:
**E_form (uncorrected)**: 0.237 eV/atom
**Space-group type**: I4/mmm (139)
**Fermi-level density of states**: 5.98 states/eV per cell

Structure (Quantum ESPRESSO input):
```
&SYSTEM
  ibrav = 0, nat = 16, ntyp = 3
/
ATOMIC_SPECIES
Al 26.98 Al.upf
Cu 63.55 Cu.upf
Si 28.09 Si.upf
ATOMIC_POSITIONS angstrom
Al 0.000 0.000 3.526
Al 0.000 0.000 10.627
Al 2.005 2.005 3.550
Al 2.005 2.005 10.602
Cu 0.000 0.000 7.076
Cu 2.005 2.005 0.000
Si 0.000 0.000 0.000
Si 0.000 2.005 1.687
Si 0.000 2.005 5.389
Si 0.000 2.005 8.764
Si 0.000 2.005 12.465
Si 2.005 0.000 1.687
Si 2.005 0.000 5.389
Si 2.005 0.000 8.764
Si 2.005 0.000 12.465
Si 2.005 2.005 7.076
CELL_PARAMETERS angstrom
4.011 0.000 0.000
0.000 4.011 0.000
0.000 0.000 14.153
```